(1)
# Ca2MnTl GGA-PBE optimized geometry
data_Ca2MnTl
_symmetry_space_group_name_H-M 'P 4 m m'
_symmetry_Int_Tables_number 99
_cell_length_a 3.7125
_cell_length_b 3.7125
_cell_length_c 8.3914
_cell_angle_alpha 90.00
_cell_angle_beta 90.00
_cell_angle_gamma 90.00
loop_
_symmetry_equiv_pos_as_xyz
'x,y,z'
'-y,x,z'
'-x,-y,z'
'y,-x,z'
'-x,y,z'
'y,x,z'
'x,-y,z'
'-y,-x,z'
loop_
_atom_site_label
_atom_site_type_symbol
_atom_site_fract_x
_atom_site_fract_y
_atom_site_fract_z
Ca1 Ca 0.0000 0.0000 0.0000
Ca2 Ca 0.5000 0.5000 0.3559
Mn1 Mn 0.0000 0.0000 0.5907
Tl1 Tl 0.5000 0.5000 0.7541
# total DFT energy (no corrections): -3.750 eV/atom
# crystal system: tetragonal
# energy of formation from the pure elements: 0.14 eV/atom
# theoretical density: 4.87 g/cm³

(2)
# CaMn2Tl GGA-PBE optimized geometry
data_CaMn2Tl
_symmetry_space_group_name_H-M 'P 1 2/m 1'
_symmetry_Int_Tables_number 10
_cell_length_a 3.2705
_cell_length_b 4.7863
_cell_length_c 5.8876
_cell_angle_alpha 90.00
_cell_angle_beta 100.55
_cell_angle_gamma 90.00
loop_
_symmetry_equiv_pos_as_xyz
'x,y,z'
'-x,-y,-z'
'-x,y,-z'
'x,-y,z'
loop_
_atom_site_label
_atom_site_type_symbol
_atom_site_fract_x
_atom_site_fract_y
_atom_site_fract_z
Ca1 Ca 0.0000 0.0000 0.0000
Mn1 Mn 0.3401 0.5000 0.7203
Tl1 Tl 0.5000 0.0000 0.5000
# total DFT energy (no corrections): -5.200 eV/atom
# crystal system: monoclinic
# energy of formation from the pure elements: 0.48 eV/atom
# offset from the most stable computed form: 25.36 kJ/mol of atoms
# theoretical density: 6.49 g/cm³

(3)
# CaMnTl2 GGA-PBE optimized geometry
data_CaMnTl2
_symmetry_space_group_name_H-M 'F -4 3 m'
_symmetry_Int_Tables_number 216
_symmetry_space_group_name_Hall 'F -4 2 3'
_cell_length_a 7.4856
_cell_length_b 7.4856
_cell_length_c 7.4856
_cell_angle_alpha 90.00
_cell_angle_beta 90.00
_cell_angle_gamma 90.00
loop_
_atom_site_label
_atom_site_type_symbol
_atom_site_fract_x
_atom_site_fract_y
_atom_site_fract_z
Ca1 Ca 0.0000 0.0000 0.0000
Mn1 Mn 0.2500 0.2500 0.7500
Tl1 Tl 0.0000 0.0000 0.5000
Tl2 Tl 0.2500 0.2500 0.2500
# total DFT energy (no corrections): -3.746 eV/atom
# crystal system: cubic
# energy of formation from the pure elements: 0.23 eV/atom
# theoretical density: 7.98 g/cm³

(4)
# Ca2MnTl GGA-PBE optimized geometry
data_Ca2MnTl
_symmetry_space_group_name_H-M 'R -3 m'
_symmetry_Int_Tables_number 166
_symmetry_space_group_name_Hall '-R 3 2"'
_cell_length_a 3.7033
_cell_length_b 3.7033
_cell_length_c 29.5964
_cell_angle_alpha 90.00
_cell_angle_beta 90.00
_cell_angle_gamma 120.00
loop_
_atom_site_label
_atom_site_type_symbol
_atom_site_fract_x
_atom_site_fract_y
_atom_site_fract_z
Ca1 Ca 0.0000 0.0000 0.2466
Mn1 Mn 0.0000 0.0000 0.5000
Tl1 Tl 0.0000 0.0000 0.0000
# total DFT energy (no corrections): -3.655 eV/atom
# crystal system: trigonal
# energy of formation from the pure elements: 0.23 eV/atom
# theoretical density: 4.81 g/cm³

(5)
# CaMn3Tl GGA-PBE optimized geometry
data_CaMn3Tl
_symmetry_space_group_name_H-M 'P m -3 m'
_symmetry_Int_Tables_number 221
_symmetry_space_group_name_Hall '-P 4 2 3'
_cell_length_a 5.1461
_cell_length_b 5.1461
_cell_length_c 5.1461
_cell_angle_alpha 90.00
_cell_angle_beta 90.00
_cell_angle_gamma 90.00
loop_
_atom_site_label
_atom_site_type_symbol
_atom_site_fract_x
_atom_site_fract_y
_atom_site_fract_z
Ca1 Ca 0.0000 0.0000 0.0000
Mn1 Mn 0.0000 0.5000 0.5000
Tl1 Tl 0.5000 0.5000 0.5000
# total DFT energy (no corrections): -5.426 eV/atom
# crystal system: cubic
# energy of formation from the pure elements: 0.95 eV/atom
# offset from the most stable computed form: 0.00 kJ/mol of atoms
# theoretical density: 4.99 g/cm³

(6)
# CaMn2Tl GGA-PBE optimized geometry
data_CaMn2Tl
_symmetry_space_group_name_H-M 'F m -3 m'
_symmetry_Int_Tables_number 225
_symmetry_space_group_name_Hall '-F 4 2 3'
_cell_length_a 6.9362
_cell_length_b 6.9362
_cell_length_c 6.9362
_cell_angle_alpha 90.00
_cell_angle_beta 90.00
_cell_angle_gamma 90.00
loop_
_atom_site_label
_atom_site_type_symbol
_atom_site_fract_x
_atom_site_fract_y
_atom_site_fract_z
Ca1 Ca 0.0000 0.0000 0.0000
Mn1 Mn 0.2500 0.2500 0.2500
Tl1 Tl 0.0000 0.0000 0.5000
# total DFT energy (no corrections): -5.244 eV/atom
# crystal system: cubic
# energy of formation from the pure elements: 0.43 eV/atom
# offset from the most stable computed form: 21.06 kJ/mol of atoms
# theoretical density: 7.05 g/cm³

(7)
# CaMn2Tl GGA-PBE optimized geometry
data_CaMn2Tl
_symmetry_space_group_name_H-M 'P 4 m m'
_symmetry_Int_Tables_number 99
_cell_length_a 3.3016
_cell_length_b 3.3016
_cell_length_c 7.3612
_cell_angle_alpha 90.00
_cell_angle_beta 90.00
_cell_angle_gamma 90.00
loop_
_symmetry_equiv_pos_as_xyz
'x,y,z'
'-y,x,z'
'-x,-y,z'
'y,-x,z'
'-x,y,z'
'y,x,z'
'x,-y,z'
'-y,-x,z'
loop_
_atom_site_label
_atom_site_type_symbol
_atom_site_fract_x
_atom_site_fract_y
_atom_site_fract_z
Ca1 Ca 0.0000 0.0000 0.0000
Mn1 Mn 0.0000 0.0000 0.5877
Mn2 Mn 0.5000 0.5000 0.7140
Tl1 Tl 0.5000 0.5000 0.3316
# total DFT energy (no corrections): -5.318 eV/atom
# crystal system: tetragonal
# energy of formation from the pure elements: 0.36 eV/atom
# offset from the most stable computed form: 13.98 kJ/mol of atoms
# theoretical density: 7.33 g/cm³

(8)
# CaMn2Tl GGA-PBE optimized geometry
data_CaMn2Tl
_symmetry_space_group_name_H-M 'R -3 m'
_symmetry_Int_Tables_number 166
_symmetry_space_group_name_Hall '-R 3 2"'
_cell_length_a 3.3490
_cell_length_b 3.3490
_cell_length_c 29.4464
_cell_angle_alpha 90.00
_cell_angle_beta 90.00
_cell_angle_gamma 120.00
loop_
_atom_site_label
_atom_site_type_symbol
_atom_site_fract_x
_atom_site_fract_y
_atom_site_fract_z
Ca1 Ca 0.0000 0.0000 0.0000
Mn1 Mn 0.0000 0.0000 0.2448
Tl1 Tl 0.0000 0.0000 0.5000
# total DFT energy (no corrections): -5.017 eV/atom
# crystal system: trigonal
# energy of formation from the pure elements: 0.66 eV/atom
# offset from the most stable computed form: 42.94 kJ/mol of atoms
# theoretical density: 6.17 g/cm³

(9)
# CaMn2Tl GGA-PBE optimized geometry
data_CaMn2Tl
_symmetry_space_group_name_H-M 'P m m m'
_symmetry_Int_Tables_number 47
_cell_length_a 3.4043
_cell_length_b 3.9828
_cell_length_c 6.6282
_cell_angle_alpha 90.00
_cell_angle_beta 90.00
_cell_angle_gamma 90.00
loop_
_symmetry_equiv_pos_as_xyz
'x,y,z'
'-x,-y,-z'
'-x,-y,z'
'x,y,-z'
'x,-y,-z'
'-x,y,z'
'-x,y,-z'
'x,-y,z'
loop_
_atom_site_label
_atom_site_type_symbol
_atom_site_fract_x
_atom_site_fract_y
_atom_site_fract_z
Ca1 Ca 0.0000 0.0000 0.0000
Mn1 Mn 0.5000 0.5000 0.2879
Tl1 Tl 0.0000 0.0000 0.5000
# total DFT energy (no corrections): -5.186 eV/atom
# crystal system: orthorhombic
# energy of formation from the pure elements: 0.49 eV/atom
# offset from the most stable computed form: 26.65 kJ/mol of atoms
# theoretical density: 6.55 g/cm³

(10)
# CaMnTl2 GGA-PBE optimized geometry
data_CaMnTl2
_symmetry_space_group_name_H-M 'C 1 2/m 1'
_symmetry_Int_Tables_number 12
_cell_length_a 9.0462
_cell_length_b 4.3672
_cell_length_c 5.7076
_cell_angle_alpha 90.00
_cell_angle_beta 112.26
_cell_angle_gamma 90.00
loop_
_symmetry_equiv_pos_as_xyz
'x,y,z'
'-x,-y,-z'
'-x,y,-z'
'x,-y,z'
'x+1/2,y+1/2,z'
'-x+1/2,-y+1/2,-z'
'-x+1/2,y+1/2,-z'
'x+1/2,-y+1/2,z'
loop_
_atom_site_label
_atom_site_type_symbol
_atom_site_fract_x
_atom_site_fract_y
_atom_site_fract_z
Ca1 Ca 0.0000 0.0000 0.0000
Mn1 Mn 0.0000 0.5000 0.5000
Tl1 Tl 0.2304 0.0000 0.6903
# total DFT energy (no corrections): -3.898 eV/atom
# crystal system: monoclinic
# energy of formation from the pure elements: 0.08 eV/atom
# theoretical density: 8.02 g/cm³

(11)
# Ca2MnTl GGA-PBE optimized geometry
data_Ca2MnTl
_symmetry_space_group_name_H-M 'I -4 m 2'
_symmetry_Int_Tables_number 119
_symmetry_space_group_name_Hall 'I -4 -2'
_cell_length_a 5.2277
_cell_length_b 5.2277
_cell_length_c 7.4314
_cell_angle_alpha 90.00
_cell_angle_beta 90.00
_cell_angle_gamma 90.00
loop_
_atom_site_label
_atom_site_type_symbol
_atom_site_fract_x
_atom_site_fract_y
_atom_site_fract_z
Ca1 Ca 0.0000 0.0000 0.0000
Ca2 Ca 0.0000 0.5000 0.2500
Mn1 Mn 0.0000 0.5000 0.7500
Tl1 Tl 0.0000 0.0000 0.5000
# total DFT energy (no corrections): -3.747 eV/atom
# crystal system: tetragonal
# energy of formation from the pure elements: 0.14 eV/atom
# theoretical density: 5.55 g/cm³

(12)
# CaMnTl2 GGA-PBE optimized geometry
data_CaMnTl2
_symmetry_space_group_name_H-M 'I -4 2 d'
_symmetry_Int_Tables_number 122
_symmetry_space_group_name_Hall 'I -4 2bw'
_cell_length_a 4.7814
_cell_length_b 4.7814
_cell_length_c 20.2777
_cell_angle_alpha 90.00
_cell_angle_beta 90.00
_cell_angle_gamma 90.00
loop_
_atom_site_label
_atom_site_type_symbol
_atom_site_fract_x
_atom_site_fract_y
_atom_site_fract_z
Ca1 Ca 0.0000 0.0000 0.0000
Mn1 Mn 0.0000 0.0000 0.5000
Tl1 Tl 0.2073 0.2500 0.6250
# total DFT energy (no corrections): -3.661 eV/atom
# crystal system: tetragonal
# energy of formation from the pure elements: 0.32 eV/atom
# theoretical density: 7.22 g/cm³

(13)
# CaMn2Tl GGA-PBE optimized geometry
data_CaMn2Tl
_symmetry_space_group_name_H-M 'I -4 m 2'
_symmetry_Int_Tables_number 119
_symmetry_space_group_name_Hall 'I -4 -2'
_cell_length_a 4.3948
_cell_length_b 4.3948
_cell_length_c 8.8256
_cell_angle_alpha 90.00
_cell_angle_beta 90.00
_cell_angle_gamma 90.00
loop_
_atom_site_label
_atom_site_type_symbol
_atom_site_fract_x
_atom_site_fract_y
_atom_site_fract_z
Ca1 Ca 0.0000 0.0000 0.0000
Mn1 Mn 0.0000 0.0000 0.5000
Mn2 Mn 0.0000 0.5000 0.2500
Tl1 Tl 0.0000 0.5000 0.7500
# total DFT energy (no corrections): -5.274 eV/atom
# crystal system: tetragonal
# energy of formation from the pure elements: 0.40 eV/atom
# offset from the most stable computed form: 18.14 kJ/mol of atoms
# theoretical density: 6.90 g/cm³

(14)
# CaMnTl2 GGA-PBE optimized geometry
data_CaMnTl2
_symmetry_space_group_name_H-M 'P 4 m m'
_symmetry_Int_Tables_number 99
_cell_length_a 3.9136
_cell_length_b 3.9136
_cell_length_c 6.8762
_cell_angle_alpha 90.00
_cell_angle_beta 90.00
_cell_angle_gamma 90.00
loop_
_symmetry_equiv_pos_as_xyz
'x,y,z'
'-y,x,z'
'-x,-y,z'
'y,-x,z'
'-x,y,z'
'y,x,z'
'x,-y,z'
'-y,-x,z'
loop_
_atom_site_label
_atom_site_type_symbol
_atom_site_fract_x
_atom_site_fract_y
_atom_site_fract_z
Ca1 Ca 0.0000 0.0000 0.0000
Mn1 Mn 0.5000 0.5000 0.2781
Tl1 Tl 0.0000 0.0000 0.4606
Tl2 Tl 0.5000 0.5000 0.7282
# total DFT energy (no corrections): -3.789 eV/atom
# crystal system: tetragonal
# energy of formation from the pure elements: 0.19 eV/atom
# theoretical density: 7.94 g/cm³

| no. | DOS at the Fermi energy (states/eV per cell) |
| --- | --- |
| 1 | 3.9 |
| 2 | 4.0 |
| 3 | 12.3 |
| 4 | 9.6 |
| 5 | 1.0 |
| 6 | 22.8 |
| 7 | 4.3 |
| 8 | 14.0 |
| 9 | 5.1 |
| 10 | 4.4 |
| 11 | 5.9 |
| 12 | 11.3 |
| 13 | 9.1 |
| 14 | 3.1 |